Compound: YHoEr2Se4
Source: Alexandria via LeMat-Bulk
Functional: PBE
Structure: relaxed

Lattice parameters (Å, degrees): 4.0029 7.0569 7.0459 71.18 90.00 90.00
With the nearest neighbours (Å) after each atom.
Fractional positions:
Er1 0.0000 0.0000 0.0000  6 Se 2.86
Er2 0.5000 0.0000 0.5000  6 Se 2.85
Y1 0.5000 0.5000 0.0000  6 Se 2.89
Se1 0.0000 0.7539 0.7473  3 Er 2.85-2.86, 1 Ho 2.87, 2 Y 2.89
Se2 0.5000 0.2471 0.7496  3 Er 2.85-2.86, 2 Ho 2.87, 1 Y 2.89
Se3 0.5000 0.7529 0.2504  3 Er 2.85-2.86, 2 Ho 2.87, 1 Y 2.89
Se4 0.0000 0.2461 0.2527  3 Er 2.85-2.86, 1 Ho 2.87, 2 Y 2.89
Ho1 0.0000 0.5000 0.5000  6 Se 2.87

Summary:
DOS(E_F) (states/eV/f.u.): 4.77
VASP energy (eV per cell): -47.8
Volume (Å³ per atom): 23.55
SG: P2/m

Compound: YHo2ErSe6
Source: Alexandria via LeMat-Bulk
Functional: PBE
Structure: relaxed

Lattice parameters (Å, degrees): 7.1717 7.1717 7.6768 62.15 62.15 59.99
With the nearest neighbours (Å) after each atom.
Fractional positions:
Y1 0.3182 0.3181 0.0455  6 Se 2.84-2.91
Se1 0.6125 0.2210 0.2523  2 Ho 2.83-2.89, 1 Y 2.84, 1 Er 2.88
Se2 0.1094 0.4171 0.7505  1 Er 2.82, 2 Ho 2.83-2.90, 1 Y 2.91
Se3 0.7231 0.1094 0.7504  1 Er 2.82, 2 Ho 2.83-2.90, 1 Y 2.91
Se4 0.4170 0.7231 0.7504  1 Er 2.82, 2 Ho 2.83-2.90, 1 Y 2.91
Se5 0.9142 0.6126 0.2524  2 Ho 2.83-2.89, 1 Y 2.84, 1 Er 2.88
Se6 0.2210 0.9141 0.2523  2 Ho 2.83-2.89, 1 Y 2.84, 1 Er 2.88
Ho1 0.0139 0.0139 0.9583  6 Se 2.83-2.89
Ho2 0.5136 0.5136 0.4592  6 Se 2.83-2.90
Er1 0.8187 0.8187 0.5439  6 Se 2.82-2.88

Summary:
DOS(E_F) (states/eV/f.u.): 0.00
VASP energy (eV per cell): -59.6
Volume (Å³ per atom): 28.79
SG: R3

Compound: Y2HoErSe6
Source: Alexandria via LeMat-Bulk
Functional: PBE
Structure: relaxed

Lattice parameters (Å, degrees): 7.1815 7.1815 7.6867 62.14 62.14 59.99
With the nearest neighbours (Å) after each atom.
Fractional positions:
Se1 0.7196 0.1077 0.7522  1 Er 2.82, 2 Y 2.85-2.91, 1 Ho 2.89
Se2 0.6086 0.2184 0.2532  1 Ho 2.83, 2 Y 2.85-2.91, 1 Er 2.88
Se3 0.1077 0.4206 0.7522  1 Er 2.82, 2 Y 2.85-2.91, 1 Ho 2.89
Se4 0.2184 0.9197 0.2532  1 Ho 2.83, 2 Y 2.85-2.91, 1 Er 2.88
Se5 0.4205 0.7195 0.7522  1 Er 2.82, 2 Y 2.85-2.91, 1 Ho 2.89
Se6 0.9198 0.6087 0.2532  1 Ho 2.83, 2 Y 2.85-2.91, 1 Er 2.88
Er1 0.8190 0.8191 0.5428  6 Se 2.82-2.88
Y1 0.0145 0.0145 0.9565  6 Se 2.85-2.91
Y2 0.5145 0.5145 0.4566  6 Se 2.85-2.91
Ho1 0.3190 0.3189 0.0431  6 Se 2.83-2.89

Summary:
DOS(E_F) (states/eV/f.u.): 0.00
VASP energy (eV per cell): -61.5
Volume (Å³ per atom): 28.91
SG: R3

Going through the records in order, we get formation energy (no corrections) values of -1324; -1787; -1791 kJ/mol of formula units.